--- A ---
Here is crystalline TaCdInTc2 at its relaxed geometry from Alexandria via LeMat-Bulk. Energies are from PBE-GGA.

Cell and atoms, written as POSCAR:
```
TaCdInTc2
1.0
4.907 0.000 0.000
0.000 4.788 0.000
0.000 0.000 4.907
Tc Cd In Ta
2 1 1 1
Direct
0.000 0.000 0.500 Tc
0.500 0.000 0.000 Tc
0.000 0.000 0.000 Cd
0.000 0.500 0.000 In
0.500 0.500 0.500 Ta
```

crystal system	tetragonal

=====

--- B ---
Here is crystalline TaCdInTc2 at its relaxed geometry from Alexandria via LeMat-Bulk. Energies are from PBE-GGA.

Cell and atoms, written as POSCAR:
```
TaCdInTc2
1.0
4.891 0.000 0.000
0.000 5.029 0.000
0.000 0.000 4.891
In Ta Cd Tc
1 1 1 2
Direct
0.000 0.000 0.000 In
0.000 0.500 0.000 Ta
0.500 0.500 0.500 Cd
0.500 0.000 0.000 Tc
0.000 0.000 0.500 Tc
```

crystal system	tetragonal

=====

Which structure loses on stability? A does.

=====

--- A ---
Here is crystalline Tb6CdIn5 at its relaxed geometry from Alexandria via LeMat-Bulk. Energies are from PBE-GGA.

Cell and atoms, written as POSCAR:
```
Tb6CdIn5
1.0
5.075 -0.030 1.705
0.040 7.468 0.013
0.015 -0.015 8.486
Tb In Cd
6 5 1
Direct
0.167 0.751 0.667 Tb
0.500 0.250 0.000 Tb
0.500 0.750 0.000 Tb
0.833 0.751 0.333 Tb
0.833 0.249 0.333 Tb
0.167 0.249 0.667 Tb
0.000 0.500 0.000 In
0.336 0.000 0.328 In
0.667 0.500 0.667 In
0.333 0.500 0.333 In
0.664 0.000 0.672 In
0.000 0.000 0.000 Cd
```

crystal system	monoclinic

=====

--- B ---
Here is crystalline Tb6CdIn5 at its relaxed geometry from Alexandria via LeMat-Bulk. Energies are from PBE-GGA.

Cell and atoms, written as POSCAR:
```
Tb6CdIn5
1.0
-9.458 -2.801 -0.931
0.492 -5.614 -3.099
0.556 -5.482 3.345
Cd Tb In
1 6 5
Direct
0.000 0.000 0.000 Cd
0.749 0.751 0.000 Tb
0.251 0.249 0.000 Tb
0.752 0.416 0.667 Tb
0.248 0.584 0.333 Tb
0.752 0.082 0.333 Tb
0.248 0.918 0.667 Tb
0.000 0.665 0.670 In
0.500 0.500 0.000 In
0.000 0.335 0.330 In
0.500 0.832 0.337 In
0.500 0.168 0.663 In
```

crystal system	monoclinic

=====

Which structure loses on stability? B does.

=====

--- A ---
Here is crystalline Tb8CdIn2 at its relaxed geometry from Alexandria via LeMat-Bulk. Energies are from PBE-GGA.

Cell and atoms, written as POSCAR:
```
Tb8CdIn2
1.0
-1.265 5.033 0.441
-2.671 -1.241 6.502
9.108 -0.568 1.848
Tb In Cd
8 2 1
Direct
0.664 0.936 0.327 Tb
0.593 0.449 0.185 Tb
0.819 0.735 0.638 Tb
0.181 0.265 0.362 Tb
0.970 0.252 0.940 Tb
0.030 0.748 0.060 Tb
0.407 0.551 0.815 Tb
0.336 0.064 0.673 Tb
0.207 0.711 0.414 In
0.793 0.289 0.586 In
0.500 0.000 0.000 Cd
```

crystal system	monoclinic

=====

--- B ---
Here is crystalline Tb8CdIn2 at its relaxed geometry from Alexandria via LeMat-Bulk. Energies are from PBE-GGA.

Cell and atoms, written as POSCAR:
```
Tb8CdIn2
1.0
0.624 1.868 -4.758
6.340 -5.613 -1.372
-8.347 -2.999 0.514
Cd Tb In
1 8 2
Direct
0.500 0.000 0.000 Cd
0.657 0.875 0.314 Tb
0.343 0.125 0.686 Tb
0.000 0.688 0.000 Tb
0.343 0.560 0.686 Tb
0.000 0.312 0.000 Tb
0.657 0.440 0.314 Tb
0.859 0.859 0.719 Tb
0.141 0.141 0.281 Tb
0.804 0.304 0.607 In
0.196 0.696 0.393 In
```

crystal system	orthorhombic

=====

Which structure loses on stability? B does.

=====

--- A ---
Here is crystalline TbTlCdIn at its relaxed geometry from Alexandria via LeMat-Bulk. Energies are from PBE-GGA.

Cell and atoms, written as POSCAR:
```
TbTlCdIn
1.0
5.274 0.000 0.000
2.637 4.567 0.000
2.637 1.522 4.306
Tb Cd In Tl
1 1 1 1
Direct
0.250 0.250 0.250 Tb
0.750 0.750 0.750 Cd
0.500 0.500 0.500 In
0.000 0.000 0.000 Tl
```

crystal system	cubic

=====

--- B ---
Here is crystalline TbTlCdIn at its relaxed geometry from Alexandria via LeMat-Bulk. Energies are from PBE-GGA.

Cell and atoms, written as POSCAR:
```
TbTlCdIn
1.0
-2.454 0.328 3.958
-0.528 -4.549 0.050
3.958 -0.432 2.490
Cd In Tb Tl
1 1 1 1
Direct
0.000 0.000 0.000 Cd
0.500 0.500 0.000 In
0.500 0.000 0.500 Tb
0.000 0.500 0.500 Tl
```

crystal system	orthorhombic

=====

Which structure loses on stability? A does.

=====

--- A ---
Here is crystalline CdInTc2 at its relaxed geometry from Alexandria via LeMat-Bulk. Energies are from PBE-GGA.

Cell and atoms, written as POSCAR:
```
CdInTc2
1.0
3.290 0.000 0.000
0.000 4.566 0.000
0.000 0.000 4.626
Tc In Cd
2 1 1
Direct
0.500 0.500 0.000 Tc
0.000 0.000 0.000 Tc
0.000 0.500 0.500 In
0.500 0.000 0.500 Cd
```

crystal system	orthorhombic

=====

--- B ---
Here is crystalline CdInTc2 at its relaxed geometry from Alexandria via LeMat-Bulk. Energies are from PBE-GGA.

Cell and atoms, written as POSCAR:
```
CdInTc2
1.0
4.698 0.000 0.000
0.000 2.858 -0.019
0.000 0.634 5.281
Tc Cd In
2 1 1
Direct
0.000 0.570 0.478 Tc
0.000 0.930 0.022 Tc
0.500 0.250 0.250 Cd
0.500 0.750 0.750 In
```

crystal system	monoclinic

=====

--- C ---
Here is crystalline CdInTc2 at its relaxed geometry from Alexandria via LeMat-Bulk. Energies are from PBE-GGA.

Cell and atoms, written as POSCAR:
```
CdInTc2
1.0
-0.057 -3.954 3.715
3.650 3.938 0.682
-1.164 1.337 2.199
In Cd Tc
1 1 2
Direct
0.500 0.500 0.000 In
0.000 0.500 0.500 Cd
0.500 0.000 0.500 Tc
0.000 0.000 0.000 Tc
```

crystal system	monoclinic

=====

--- D ---
Here is crystalline CdInTc2 at its relaxed geometry from Alexandria via LeMat-Bulk. Energies are from PBE-GGA.

Cell and atoms, written as POSCAR:
```
CdInTc2
1.0
5.115 -0.009 0.000
1.845 4.771 0.000
-3.480 -2.381 2.896
Tc In Cd
2 1 1
Direct
0.500 0.500 0.000 Tc
0.000 0.000 0.000 Tc
0.750 0.250 0.500 In
0.250 0.750 0.500 Cd
```

crystal system	tetragonal

=====

Which structure loses on stability? D does.

=====

--- A ---
Here is crystalline CdIn2Te2 at its relaxed geometry from Alexandria via LeMat-Bulk. Energies are from PBE-GGA.

Cell and atoms, written as POSCAR:
```
CdIn2Te2
1.0
8.581 0.000 0.000
0.000 8.581 0.000
0.000 0.000 4.228
Te In Cd
4 4 2
Direct
0.678 0.178 0.000 Te
0.822 0.678 0.000 Te
0.322 0.822 0.000 Te
0.178 0.322 0.000 Te
0.868 0.368 0.500 In
0.368 0.132 0.500 In
0.632 0.868 0.500 In
0.132 0.632 0.500 In
0.000 0.000 0.000 Cd
0.500 0.500 0.000 Cd
```

crystal system	tetragonal

=====

--- B ---
Here is crystalline CdIn2Te2 at its relaxed geometry from Alexandria via LeMat-Bulk. Energies are from PBE-GGA.

Cell and atoms, written as POSCAR:
```
CdIn2Te2
1.0
5.397 0.000 0.000
0.000 5.397 0.000
2.698 2.698 6.443
In Te Cd
2 2 1
Direct
0.750 0.250 0.500 In
0.250 0.750 0.500 In
0.356 0.356 0.287 Te
0.644 0.644 0.713 Te
0.000 0.000 0.000 Cd
```

crystal system	tetragonal

=====

Which structure loses on stability? B does.